[1]
Material: KCu2Se2
Method: DFT, PBE-GGA
State: relaxed

```
KCu2Se2
1.0
3.859 0.000 0.000
0.000 3.859 0.000
0.000 0.000 7.434
K Cu Se
1 2 2
Direct
0.000 0.000 0.000
0.500 0.000 0.500
0.000 0.500 0.500
0.500 0.500 0.721
0.500 0.500 0.279
```

**E_form (uncorrected)**: -0.43 eV per atom
**Total energy**: -3.68 eV/atom

=====

[2]
Material: K2CuSe3
Method: DFT, PBE-GGA
State: relaxed

```
K2CuSe3
1.0
-6.745 -0.409 1.584
3.461 -5.695 -1.939
2.687 -2.080 10.905
K Cu Se
4 2 6
Direct
0.000 0.000 0.000
0.667 0.333 0.249
0.000 0.000 0.500
0.333 0.667 0.751
0.333 0.667 0.229
0.667 0.333 0.771
0.145 0.291 0.250
0.709 0.855 0.250
0.145 0.855 0.250
0.855 0.709 0.750
0.855 0.145 0.750
0.291 0.145 0.750
```

**E_form (uncorrected)**: -0.50 eV per atom
**E above lowest polymorph**: 1.7 kJ/mol of atoms
**Total energy**: -3.29 eV/atom

=====

[3]
Material: K2CuSe2
Method: DFT, PBE-GGA
State: relaxed

```
K2CuSe2
1.0
-2.174 -2.902 -1.737
2.000 -5.768 2.482
-7.860 -2.088 8.674
K Cu Se
4 2 4
Direct
0.666 0.295 0.373
0.915 0.261 0.909
0.334 0.705 0.627
0.085 0.739 0.091
0.597 0.106 0.699
0.403 0.894 0.301
0.060 0.263 0.617
0.666 0.816 0.851
0.940 0.737 0.383
0.334 0.184 0.149
```

**E_form (uncorrected)**: -0.77 eV per atom
**Total energy**: -3.43 eV/atom